Na3TiIr (PBE, optimized geometry); energy of formation from the pure elements = 1.44 eV/atom
1.0
-0.977 -0.408 5.176
1.097 -5.164 -0.200
5.075 1.037 1.039
Na Ir Ti
3 1 1
direct
0.000 0.500 0.000
0.000 0.000 0.500
0.500 0.000 0.000
0.000 0.000 0.000
0.500 0.500 0.500



Nd8SmTl6 (PBE, optimized geometry); energy of formation from the pure elements = -0.17 eV/atom
1.0
-4.902 0.807 7.930
-8.889 -2.907 0.322
-2.552 -6.745 4.630
Nd Sm Tl
8 1 6
direct
0.888 0.553 0.338
0.222 0.888 0.338
0.334 0.334 0.999
0.666 0.666 0.001
0.553 0.222 0.338
0.112 0.447 0.662
0.447 0.778 0.662
0.778 0.112 0.662
0.000 0.000 0.000
0.058 0.727 0.826
0.611 0.942 0.174
0.727 0.389 0.826
0.389 0.058 0.826
0.942 0.273 0.174
0.273 0.611 0.174



La2Zr2Al (PBE, optimized geometry); energy of formation from the pure elements = 0.02 eV/atom
1.0
-4.808 -0.956 5.712
4.372 -5.468 2.765
2.453 3.283 2.614
La Zr Al
4 4 2
direct
0.670 0.830 0.500
0.330 0.170 0.500
0.830 0.330 0.500
0.170 0.670 0.500
0.643 0.143 0.000
0.143 0.357 0.000
0.857 0.643 0.000
0.357 0.857 0.000
0.500 0.500 0.000
0.000 0.000 0.000



CsZrCu2S4 (PBE, optimized geometry); formation energy (no corrections) = -0.794 eV per atom
1.0
6.058 0.000 0.000
3.029 6.330 -0.018
3.029 0.501 6.310
Cs S Cu Zr
1 4 2 1
direct
0.000 0.000 0.000
0.577 0.492 0.816
0.115 0.816 0.492
0.423 0.184 0.508
0.885 0.508 0.184
0.130 0.370 0.370
0.870 0.630 0.630
0.500 0.500 0.500